DFT (PBE) results for a geometry-optimized Rb2Pt structure.

Values from the calculation:
Energy   -2.382 eV per atom

Lattice parameters (Å, degrees): 9.9409 9.9409 9.9409 60.00 60.00 60.00
With the nearest neighbours (Å) after each atom.
Atoms (fractional coordinates):
Rb  0.0000  0.0000  0.0000  2 Pt 3.04
Rb  0.0000  0.0000  0.5000  2 Pt 3.04
Rb  0.0000  0.5000  0.0000  2 Pt 3.04
Rb  0.5000  0.0000  0.0000  2 Pt 3.04
Pt  0.1250  0.1250  0.1250  4 Rb 3.04
Pt  0.8750  0.8750  0.8750  4 Rb 3.04


DFT (PBE) results for a geometry-optimized TlTePtAuSe2 structure.

Values from the calculation:
Energy   -3.858 eV per atom

Lattice parameters (Å, degrees): 7.7065 7.7065 11.1344 90.00 90.00 152.16
With the nearest neighbours (Å) after each atom.
Atoms (fractional coordinates):
Tl  0.2161  0.7839  0.7500  2 Au 2.99, 2 Te 3.31
Tl  0.7839  0.2161  0.2500  2 Au 2.99, 2 Te 3.31
Te  0.4669  0.5331  0.2500  2 Pt 2.83, 2 Au 3.03
Te  0.5331  0.4669  0.7500  2 Pt 2.83, 2 Au 3.03
Pt  0.5000  0.5000  0.0000  4 Se 2.52
Pt  0.5000  0.5000  0.5000  4 Se 2.52
Au  0.1270  0.8730  0.2500  2 Se 2.57
Au  0.8730  0.1270  0.7500  2 Se 2.57
Se  0.1129  0.8871  0.0202  2 Pt 2.52, 1 Au 2.57
Se  0.1129  0.8871  0.4798  2 Pt 2.52, 1 Au 2.57
Se  0.8871  0.1129  0.5202  2 Pt 2.52, 1 Au 2.57
Se  0.8871  0.1129  0.9798  2 Pt 2.52, 1 Au 2.57


DFT (PBE) results for a geometry-optimized Cd2InTc structure.

Values from the calculation:
Energy   -3.299 eV per atom

Lattice parameters (Å, degrees): 4.7487 4.7487 4.7487 60.00 60.00 60.00
With the nearest neighbours (Å) after each atom.
Atoms (fractional coordinates):
Cd  0.0000  0.0000  0.0000  4 Tc 2.91, 4 Cd 2.91
Cd  0.2500  0.2500  0.2500  4 Cd 2.91, 4 In 2.91
In  0.5000  0.5000  0.5000  4 Tc 2.91, 4 Cd 2.91
Tc  0.7500  0.7500  0.7500  4 Cd 2.91, 4 In 2.91


DFT (PBE) results for a geometry-optimized HoErTlCu2 structure.

Values from the calculation:
Energy   -4.111 eV per atom

Lattice parameters (Å, degrees): 3.5900 7.2977 7.2977 33.68 90.00 90.00
With the nearest neighbours (Å) after each atom.
Atoms (fractional coordinates):
Ho  0.0000  0.0000  0.0000  6 Cu 2.89-2.93
Er  0.0000  0.7304  0.7304  6 Cu 2.89-2.93
Tl  0.5000  0.3651  0.3651  2 Cu 2.83-2.84
Cu  0.5000  0.1622  0.1622  2 Cu 2.49
Cu  0.5000  0.5684  0.5684  2 Cu 2.49


DFT (PBE) results for a geometry-optimized TaNiSb2 structure.

Values from the calculation:
Energy   -5.831 eV per atom

Lattice parameters (Å, degrees): 4.8104 4.8104 4.8104 60.00 60.00 60.00
With the nearest neighbours (Å) after each atom.
Atoms (fractional coordinates):
Ta  0.0000  0.0000  0.0000  4 Sb 2.95, 4 Ni 2.95
Ni  0.2500  0.2500  0.2500  4 Ta 2.95, 4 Sb 2.95
Sb  0.5000  0.5000  0.5000  4 Sb 2.95, 4 Ni 2.95
Sb  0.7500  0.7500  0.7500  4 Sb 2.95, 4 Ta 2.95


DFT (PBE) results for a geometry-optimized SmHoPd structure.

Values from the calculation:
Energy   -5.271 eV per atom

Lattice parameters (Å, degrees): 4.9079 4.9079 4.9079 60.00 60.00 60.00
With the nearest neighbours (Å) after each atom.
Atoms (fractional coordinates):
Sm  0.0000  0.0000  0.0000  4 Pd 3.01
Ho  0.5000  0.5000  0.5000  4 Pd 3.01
Pd  0.7500  0.7500  0.7500  4 Ho 3.01, 4 Sm 3.01